No. 1
Density functional theory data (PBE-GGA) for TcPPt2 after structural relaxation.

```
4
Lattice="1.434 0.828 8.238 -1.434 0.828 8.238 0.000 -1.656 8.238" Properties=species:S:1:pos:R:3 pbc="T T T"
Tc 0.000 0.000 0.000
P 0.000 0.000 18.179
Pt 0.000 0.000 5.979
Pt 0.000 0.000 11.834
```

Energy of formation (kJ/mol of formula units): -61

***

No. 2
Density functional theory data (PBE-GGA) for TcPPt after structural relaxation.

```
3
Lattice="0.000 2.418 5.955 1.552 0.000 5.955 1.552 2.418 0.000" Properties=species:S:1:pos:R:3 pbc="T T T"
Tc 0.000 0.000 0.000
P 1.552 2.418 7.642
Pt 1.552 2.418 3.563
```

Energy above the lowest structure with this stoichiometry (meV per atom): 541
Energy of formation (kJ/mol of formula units): 46

***

No. 3
Density functional theory data (PBE-GGA) for Tc2PPt after structural relaxation.

```
4
Lattice="1.410 0.814 8.371 -1.410 0.814 8.371 0.000 -1.628 8.371" Properties=species:S:1:pos:R:3 pbc="T T T"
Tc 0.000 0.000 0.000
Tc 0.000 0.000 6.191
P 0.000 0.000 12.729
Pt 0.000 0.000 19.032
```

Energy of formation (kJ/mol of formula units): -22

***

No. 4
Density functional theory data (PBE-GGA) for TcPPt2 after structural relaxation.

```
4
Lattice="-1.424 1.993 5.334 1.424 -1.993 5.334 1.424 1.993 -5.334" Properties=species:S:1:pos:R:3 pbc="T T T"
Tc 0.000 0.000 0.000
P 0.000 0.000 5.334
Pt 1.424 0.000 3.316
Pt 0.000 1.993 2.018
```

Energy of formation (kJ/mol of formula units): -40

***

Which of these has the lowest energy of formation?
number 1

***

Please write out number 4 again, unchanged.
Density functional theory data (PBE-GGA) for TcPPt2 after structural relaxation.

```
4
Lattice="-1.424 1.993 5.334 1.424 -1.993 5.334 1.424 1.993 -5.334" Properties=species:S:1:pos:R:3 pbc="T T T"
Tc 0.000 0.000 0.000
P 0.000 0.000 5.334
Pt 1.424 0.000 3.316
Pt 0.000 1.993 2.018
```

Energy of formation (kJ/mol of formula units): -40

***

Look up the energy of formation of the third one.
-22 kJ/mol of formula units